(i)
TbErTh6 | PBE-GGA | optimized geometry

It has space group I4/mmm (No. 139), with a = 6.001 Å, b = 6.001 Å, c = 14.342 Å, α = 90.00°, β = 90.00° and γ = 90.00°. Symmetry generates all atoms from Tb at (0.000, 0.000, 0.000), Er at (0.000, 0.000, 0.500), Th at (0.000, 0.000, 0.250) and Th at (0.000, 0.500, 0.128).


(ii)
TbErTh6 | PBE-GGA | optimized geometry

It has space group P4/mmm (No. 123), with a = 5.045 Å, b = 5.045 Å, c = 10.091 Å, α = 90.00°, β = 90.00° and γ = 90.00°. Symmetry generates all atoms from Tb at (0.000, 0.000, 0.000), Er at (0.000, 0.000, 0.500), Th at (0.000, 0.500, 0.251), Th at (0.500, 0.500, 0.000) and Th at (0.500, 0.500, 0.500).


Which structure wins on stability? (ii) wins.


(i)
TbEr2Th | PBE-GGA | optimized geometry

It has space group R-3m (No. 166, hexagonal axes), with a = 3.5544 Å, b = 3.5544 Å, c = 34.3364 Å, α = 90.00°, β = 90.00° and γ = 120.00°. Symmetry generates all atoms from Tb at (0.0000, 0.0000, 0.0000), Er at (0.0000, 0.0000, 0.2487) and Th at (0.0000, 0.0000, 0.5000).


(ii)
TbEr2Th | PBE-GGA | optimized geometry

It has space group P4/mmm (No. 123), with a = 5.017 Å, b = 5.017 Å, c = 4.966 Å, α = 90.00°, β = 90.00° and γ = 90.00°. Symmetry generates all atoms from Tb at (0.000, 0.000, 0.000), Er at (0.000, 0.500, 0.500) and Th at (0.500, 0.500, 0.000).


(iii)
TbEr2Th | PBE-GGA | optimized geometry

It has space group Fm-3m (No. 225), with a = 7.978 Å, b = 7.978 Å, c = 7.978 Å, α = 90.00°, β = 90.00° and γ = 90.00°. Symmetry generates all atoms from Tb at (0.000, 0.000, 0.000), Er at (0.250, 0.250, 0.250) and Th at (0.000, 0.000, 0.500).


Which structure wins on stability? (i) wins.


(i)
TbEr2Th | PBE-GGA | optimized geometry

It has space group R3m (No. 160, hexagonal axes), with a = 3.5484 Å, b = 3.5484 Å, c = 34.5666 Å, α = 90.00°, β = 90.00° and γ = 120.00°. Symmetry generates all atoms from Tb at (0.0000, 0.0000, 0.0000), Er at (0.0000, 0.0000, 0.4161), Er at (0.0000, 0.0000, 0.5838) and Th at (0.0000, 0.0000, 0.1659).


(ii)
TbEr2Th | PBE-GGA | optimized geometry

It has space group P4/mmm (No. 123), with a = 3.541 Å, b = 3.541 Å, c = 10.029 Å, α = 90.00°, β = 90.00° and γ = 90.00°. Symmetry generates all atoms from Tb at (0.000, 0.000, 0.000), Er at (0.500, 0.500, 0.254) and Th at (0.000, 0.000, 0.500).


(iii)
TbEr2Th | PBE-GGA | optimized geometry

It has space group C2/m (No. 12), with a = 6.174 Å, b = 3.573 Å, c = 11.339 Å, α = 90.00°, β = 90.01° and γ = 90.00°. Symmetry generates all atoms from Tb at (0.000, 0.000, 0.000), Er at (0.166, 0.500, 0.254) and Th at (0.000, 0.000, 0.500).


Which structure wins on stability? (iii) wins.


(i)
Tb12Er5Th2 | PBE-GGA | optimized geometry

It has space group P-1 (No. 2), with a = 6.094 Å, b = 9.572 Å, c = 11.287 Å, α = 70.08°, β = 81.94° and γ = 89.02°. Symmetry generates all atoms from Tb at (0.036, 0.193, 0.151), Tb at (0.086, 0.810, 0.549), Tb at (0.174, 0.824, 0.226), Tb at (0.376, 0.412, 0.285), Tb at (0.421, 0.313, 0.600), Tb at (0.429, 0.687, 0.986), Er at (0.000, 0.500, 0.500), Er at (0.110, 0.455, 0.840), Er at (0.490, 0.054, 0.331) and Th at (0.277, 0.068, 0.918).


(ii)
Tb12Er5Th2 | PBE-GGA | optimized geometry

It has space group C2/m (No. 12), with a = 15.612 Å, b = 9.353 Å, c = 8.511 Å, α = 90.00°, β = 91.20° and γ = 90.00°. Symmetry generates all atoms from Tb at (0.059, 0.000, 0.327), Tb at (0.088, 0.500, 0.883), Tb at (0.126, 0.192, 0.658), Tb at (0.154, 0.320, 0.240), Er at (0.000, 0.500, 0.500), Er at (0.196, 0.000, 0.015), Er at (0.232, 0.500, 0.575) and Th at (0.000, 0.178, 0.000).


Which structure wins on stability? (i) wins.